Compound: LaGe2H
Source: the Alexandria database
Functional: PBE-GGA
Structure: relaxed

The structure in POSCAR format:
```
LaGe2H
1.0
3.8484 -1.9566 2.3604
1.7124 2.1223 4.0955
-0.6418 -2.1903 4.3590
H Ge La
1 2 1
Direct
0.0000 0.0000 0.0000 H
0.2500 0.2500 0.2500 Ge
0.7500 0.7500 0.7500 Ge
0.5000 0.5000 0.5000 La
```

Summary:
The total magnetization comes out at 0.000 μB/cell. Its density of states at the Fermi level is 3.3 states/eV per cell.

=====

Compound: La2GeH
Source: the Alexandria database
Functional: PBE-GGA
Structure: relaxed

The structure in POSCAR format:
```
La2GeH
1.0
2.6372 -3.5046 2.5812
-1.1472 -4.9322 -0.5076
3.1847 -3.1128 -2.4633
La H Ge
2 1 1
Direct
0.7500 0.7500 0.7500 La
0.2500 0.2500 0.2500 La
0.0000 0.0000 0.0000 H
0.5000 0.5000 0.5000 Ge
```

Summary:
The total magnetization comes out at 0.000 μB/cell. Its density of states at the Fermi level is 1.9 states/eV per cell.

=====

Compound: La2GeH
Source: the Alexandria database
Functional: PBE-GGA
Structure: relaxed

The structure in POSCAR format:
```
La2GeH
1.0
3.4991 0.0000 0.0000
0.0000 3.4991 0.0000
0.0000 0.0000 7.2406
Ge La H
1 2 1
Direct
0.5000 0.5000 0.5000 Ge
0.0000 0.0000 0.7655 La
0.0000 0.0000 0.2345 La
0.5000 0.5000 0.0000 H
```

Summary:
The total magnetization comes out at 0.001 μB/cell. Its density of states at the Fermi level is 3.6 states/eV per cell.

=====

Number 1: distance to the lowest polymorph of the same formula 391 meV per atom. Number 2: distance to the lowest polymorph of the same formula 187 meV per atom. Number 3: distance to the lowest polymorph of the same formula 328 meV per atom.